Material: La2BiRh
Method: DFT, GGA-PBE
State: relaxed

Lattice parameters (Å, degrees): 8.342 8.342 6.797 52.14 52.14 90.00
Fractional coordinates of all 8 atoms:
Bi 0.750 0.250 0.500
Bi 0.000 0.000 0.000
La 0.566 0.125 0.250
La 0.375 0.434 0.750
La 0.184 0.625 0.250
La 0.875 0.816 0.750
Rh 0.500 0.500 0.000
Rh 0.250 0.750 0.500

Results
Its space-group type is I-42d, No. 122.


Material: LaBi5Rh3
Method: DFT, GGA-PBE
State: relaxed

Lattice parameters (Å, degrees): 7.574 7.574 9.984 73.31 73.31 72.00
Fractional coordinates of all 18 atoms:
Rh 0.000 0.000 0.000
Rh 0.669 0.669 0.317
Rh 0.664 0.664 0.830
Rh 0.000 0.000 0.500
Rh 0.336 0.336 0.170
Rh 0.331 0.331 0.683
Bi 0.427 0.427 0.379
Bi 0.304 0.696 0.000
Bi 0.766 0.766 0.027
Bi 0.375 0.974 0.354
Bi 0.234 0.234 0.973
Bi 0.026 0.625 0.646
Bi 0.625 0.026 0.646
Bi 0.696 0.304 0.000
Bi 0.573 0.573 0.621
Bi 0.974 0.375 0.354
La 0.900 0.900 0.293
La 0.100 0.100 0.707

Results
Its space-group type is C2/m, No. 12.


Material: LaBiRh
Method: DFT, GGA-PBE
State: relaxed

Lattice parameters (Å, degrees): 6.162 5.864 5.844 68.84 58.33 58.04
Fractional coordinates of all 6 atoms:
Rh 0.534 0.195 0.881
Rh 0.036 0.192 0.880
Bi 0.629 0.671 0.713
Bi 0.131 0.026 0.358
La 0.467 0.325 0.385
La 0.967 0.698 0.011

Results
Its space-group type is C2, No. 5.


Material: La2BiRh
Method: DFT, GGA-PBE
State: relaxed

Lattice parameters (Å, degrees): 3.702 3.702 8.106 90.00 90.00 90.00
Fractional coordinates of all 4 atoms:
Bi 0.500 0.500 0.500
La 0.000 0.000 0.789
La 0.000 0.000 0.211
Rh 0.500 0.500 0.000

Results
Its space-group type is P4/mmm, No. 123.


Material: LaBiRh
Method: DFT, GGA-PBE
State: relaxed

Lattice parameters (Å, degrees): 3.948 4.753 4.753 120.00 90.00 90.00
Fractional coordinates of all 3 atoms:
Bi 0.167 0.667 0.333
La 0.667 0.333 0.667
Rh 0.167 0.000 0.000

Results
Its space-group type is P-6m2, No. 187.


Material: LaBi3Rh3
Method: DFT, GGA-PBE
State: relaxed

Lattice parameters (Å, degrees): 7.376 7.376 7.376 90.00 90.00 90.00
Fractional coordinates of all 14 atoms:
Rh 0.250 0.500 0.000
Rh 0.000 0.250 0.500
Rh 0.500 0.000 0.750
Rh 0.500 0.000 0.250
Rh 0.000 0.750 0.500
Rh 0.750 0.500 0.000
Bi 0.500 0.250 0.000
Bi 0.000 0.500 0.750
Bi 0.250 0.000 0.500
Bi 0.500 0.750 0.000
Bi 0.750 0.000 0.500
Bi 0.000 0.500 0.250
La 0.500 0.500 0.500
La 0.000 0.000 0.000

Results
Its space-group type is Pm-3n, No. 223.


Which formation energy belongs to each record? In order, -615 -242 -695 -729 -712 49 meV per atom.
Which final energy belongs to each record? In order, -5.89 -5.40 -6.08 -6.00 -6.10 -5.47 eV/atom.